[1]
TaVPb2 PBE-GGA relaxed; space group = Fm-3m, No. 225
1.0
0.0000 3.4759 3.4759
3.4759 0.0000 3.4759
3.4759 3.4759 0.0000
Pb Ta V
2 1 1
Direct
0.2500 0.2500 0.2500
0.7500 0.7500 0.7500
0.5000 0.5000 0.5000
0.0000 0.0000 0.0000

[2]
Ta3VPb PBE-GGA relaxed; distance to the lowest polymorph of the same formula = 0 meV per atom; space group = Pm-3m, No. 221
1.0
4.7234 0.0000 0.0000
0.0000 4.7234 0.0000
0.0000 0.0000 4.7234
Pb Ta V
1 3 1
Direct
0.5000 0.5000 0.5000
0.0000 0.5000 0.0000
0.0000 0.0000 0.5000
0.5000 0.0000 0.0000
0.0000 0.0000 0.0000

[3]
Y2TaVPb PBE-GGA relaxed; space group = P4/mmm, No. 123
1.0
5.0673 0.0000 0.0000
0.0000 5.1730 0.0000
0.0000 0.0000 5.0673
Pb Y V Ta
1 2 1 1
Direct
0.0000 0.5000 0.0000
0.0000 0.0000 0.5000
0.5000 0.0000 0.0000
0.0000 0.0000 0.0000
0.5000 0.5000 0.5000

[4]
Ta3PbW PBE-GGA relaxed; distance to the lowest polymorph of the same formula = 1459 meV per atom; space group = Pm-3m, No. 221
1.0
-1.8030 -1.5932 4.3739
4.4285 0.8583 2.1381
-1.4344 4.6524 1.1034
Pb W Ta
1 1 3
Direct
0.0000 0.0000 0.0000
0.5000 0.5000 0.5000
0.0000 0.5000 0.0000
0.0000 0.0000 0.5000
0.5000 0.0000 0.0000

[5]
TaPb2W PBE-GGA relaxed; distance to the lowest polymorph of the same formula = 598 meV per atom; space group = F-43m, No. 216
1.0
-3.3719 -3.6031 -0.5492
0.9312 -4.5573 1.7369
-2.4772 -1.7051 3.9508
Pb Ta W
2 1 1
Direct
0.0000 0.0000 0.0000
0.2500 0.2500 0.2500
0.5000 0.5000 0.5000
0.7500 0.7500 0.7500

[6]
Ta4PbW PBE-GGA relaxed; space group = F-43m, No. 216
1.0
-1.4305 3.6942 3.7798
1.6731 5.1919 -0.4752
-3.6005 3.9339 -1.2416
Ta Pb W
4 1 1
Direct
0.8734 0.3755 0.3755
0.3755 0.3755 0.8734
0.3755 0.8734 0.3755
0.3755 0.3755 0.3755
0.0000 0.0000 0.0000
0.7500 0.7500 0.7500

[7]
TaPbW2 PBE-GGA relaxed; space group = P4mm, No. 99
1.0
3.1614 0.0000 0.0000
0.0000 3.1614 0.0000
0.0000 0.0000 7.8554
Pb Ta W
1 1 2
Direct
0.0000 0.0000 0.4879
0.5000 0.5000 0.7973
0.0000 0.0000 0.0140
0.5000 0.5000 0.2008

[8]
TaPb2W PBE-GGA relaxed; distance to the lowest polymorph of the same formula = 787 meV per atom; space group = Cmmm, No. 65
1.0
5.5457 -0.1652 0.0000
-2.0813 5.1430 0.0000
0.0000 0.0000 3.0459
Pb Ta W
2 1 1
Direct
0.0000 0.0000 0.0000
0.5000 0.5000 0.0000
0.5000 0.0000 0.5000
0.0000 0.5000 0.5000

[9]
TaPb2W PBE-GGA relaxed; distance to the lowest polymorph of the same formula = 532 meV per atom; space group = C2/m, No. 12
1.0
-4.1051 3.3102 -0.3021
-4.2914 1.5824 2.6421
2.3235 3.7810 2.3660
Pb Ta W
2 1 1
Direct
0.9979 0.9979 0.0028
0.5021 0.5021 0.4972
0.7500 0.7500 0.7500
0.2500 0.2500 0.2500

[10]
TaPb2W PBE-GGA relaxed; distance to the lowest polymorph of the same formula = 593 meV per atom; space group = P2/m, No. 10
1.0
-2.9440 0.1885 -3.7155
-2.3877 -0.6618 1.8584
-1.4607 5.4473 1.4337
Pb Ta W
2 1 1
Direct
0.0000 0.9744 0.9974
0.0000 0.5256 0.5026
0.5000 0.2500 0.2500
0.5000 0.7500 0.7500

[11]
TaPb2W PBE-GGA relaxed; distance to the lowest polymorph of the same formula = 233 meV per atom; space group = P4mm, No. 99
1.0
-0.0330 -2.9477 0.4652
2.8865 0.0865 0.7529
-2.7322 1.6536 10.2844
Pb Ta W
2 1 1
Direct
0.0000 0.0000 0.9455
0.5000 0.5000 0.3007
0.0000 0.0000 0.5299
0.5000 0.5000 0.7240

[12]
TaPb2W PBE-GGA relaxed; distance to the lowest polymorph of the same formula = 583 meV per atom; space group = Pmmm, No. 47
1.0
-1.4328 1.1654 2.9650
1.6731 -4.1585 2.4430
4.0353 2.2497 1.0658
Pb Ta W
2 1 1
Direct
0.0000 0.0000 0.0000
0.5000 0.5000 0.0000
0.5000 0.0000 0.5000
0.0000 0.5000 0.5000

[13]
TaPb2W PBE-GGA relaxed; distance to the lowest polymorph of the same formula = 580 meV per atom; space group = Immm, No. 71
1.0
-4.8358 -3.0003 0.5619
-2.1539 -1.9759 -4.9152
4.4980 -0.1047 3.5299
Pb Ta W
2 1 1
Direct
0.0079 0.0079 0.0000
0.4921 0.4921 0.0000
0.7500 0.2500 0.5000
0.2500 0.7500 0.5000

[14]
TaPbW2 PBE-GGA relaxed; space group = Cmmm, No. 65
1.0
2.9541 0.0092 0.0000
-1.0727 2.7524 0.0000
0.0000 0.0000 9.2206
Pb Ta W
1 1 2
Direct
0.5000 0.5000 0.2500
0.5000 0.5000 0.7500
0.0000 0.0000 0.9841
0.0000 0.0000 0.5159

[15]
TaPb2W PBE-GGA relaxed; distance to the lowest polymorph of the same formula = 616 meV per atom; space group = I-4m2, No. 119
1.0
5.4052 -0.0060 0.0000
1.9190 5.0530 0.0000
-3.6621 -2.5235 3.0719
Pb Ta W
2 1 1
Direct
0.0000 0.0000 0.0000
0.2500 0.7500 0.5000
0.5000 0.5000 0.0000
0.7500 0.2500 0.5000

[16]
TaPbW2 PBE-GGA relaxed; space group = P4/mmm, No. 123
1.0
-2.5945 -1.0272 2.0997
2.2891 -0.4816 2.5929
-0.8304 5.7962 1.8096
Pb Ta W
1 1 2
Direct
0.5000 0.5000 0.2500
0.5000 0.5000 0.7500
0.0000 0.0000 0.9707
0.0000 0.0000 0.5293

[17]
TaPbW2 PBE-GGA relaxed; space group = Imm2, No. 44
1.0
-2.8997 -0.2702 4.5739
-4.3333 -2.3536 2.2550
0.9139 -3.6490 2.7133
Pb Ta W
1 1 2
Direct
0.5042 0.5042 0.4958
0.7386 0.7386 0.7615
0.9937 0.9937 0.0063
0.2635 0.2635 0.2365

[18]
TaPbW2 PBE-GGA relaxed; space group = I-4m2, No. 119
1.0
5.1755 -0.0005 0.0000
1.8834 4.8206 0.0000
-3.5294 -2.4101 2.9190
Pb Ta W
1 1 2
Direct
0.5000 0.5000 0.0000
0.7500 0.2500 0.5000
0.0000 0.0000 0.0000
0.2500 0.7500 0.5000

[19]
TaPbW2 PBE-GGA relaxed; space group = P4/mmm, No. 123
1.0
-2.2811 -0.0063 -1.7243
0.5556 -2.7096 -0.7251
-5.3524 -2.9954 7.0916
Pb Ta W
1 1 2
Direct
0.5000 0.5000 0.2500
0.5000 0.5000 0.7500
0.0000 0.0000 0.9824
0.0000 0.0000 0.5176

[20]
TaPb2W PBE-GGA relaxed; distance to the lowest polymorph of the same formula = 0 meV per atom; space group = P4mm, No. 99
1.0
3.3775 0.0000 0.0000
0.0000 3.3775 0.0000
0.0000 0.0000 8.6551
Pb Ta W
2 1 1
Direct
0.0000 0.0000 0.9348
0.5000 0.5000 0.3121
0.0000 0.0000 0.5556
0.5000 0.5000 0.6975

| no. | formation energy (eV per atom) | magnetic moment (μB/f.u.) |
| --- | --- | --- |
| 1 | 0.7160 | 0.62 |
| 2 | 1.0642 | 0.00 |
| 3 | 1.1032 | 0.81 |
| 4 | 2.8294 | 0.00 |
| 5 | 0.9859 | 0.00 |
| 6 | 0.5800 | 0.00 |
| 7 | 0.5293 | 0.00 |
| 8 | 1.1745 | 0.00 |
| 9 | 0.9201 | 0.00 |
| 10 | 0.9811 | 0.00 |
| 11 | 0.6207 | 0.00 |
| 12 | 0.9707 | 0.00 |
| 13 | 0.9678 | 0.00 |
| 14 | 0.5595 | 0.00 |
| 15 | 1.0041 | 0.00 |
| 16 | 0.5795 | 0.00 |
| 17 | 0.5907 | 0.00 |
| 18 | 0.6912 | 0.00 |
| 19 | 0.8519 | 0.00 |
| 20 | 0.3879 | 0.00 |